(1)
DFT (GGA-PBE) results for a geometry-optimized In2AsPb2 structure.

POSCAR file:
```
In2AsPb2
1.0
7.8443 0.0000 0.0000
0.0000 7.8443 0.0000
0.0000 0.0000 4.9064
In As Pb
4 2 4
Direct
0.1611 0.3389 0.0000 In
0.3389 0.8389 0.0000 In
0.6611 0.1611 0.0000 In
0.8389 0.6611 0.0000 In
0.0000 0.0000 0.5000 As
0.5000 0.5000 0.5000 As
0.1492 0.6492 0.5000 Pb
0.3508 0.1492 0.5000 Pb
0.6492 0.8508 0.5000 Pb
0.8508 0.3508 0.5000 Pb
```

* crystal system: tetragonal
* density of states at the Fermi level: 2.224 states/eV/f.u.
* SG: P4/mbm
* formation energy from the elements: 0.172 eV/atom
* E above lowest polymorph: 0.048 eV per atom

=====

(2)
DFT (GGA-PBE) results for a geometry-optimized RbInAs2Pb structure.

POSCAR file:
```
RbInAs2Pb
1.0
9.0403 -2.1889 0.0000
9.0403 2.1889 0.0000
-6.5528 0.0000 8.9273
Rb In As Pb
2 2 4 2
Direct
0.2105 0.2105 0.1550 Rb
0.7895 0.7895 0.8450 Rb
0.0568 0.0568 0.6806 In
0.9432 0.9432 0.3194 In
0.1400 0.1400 0.5377 As
0.4087 0.4087 0.1540 As
0.5913 0.5913 0.8460 As
0.8600 0.8600 0.4623 As
0.3880 0.3880 0.6530 Pb
0.6120 0.6120 0.3470 Pb
```

* crystal system: monoclinic
* density of states at the Fermi level: 0.066 states/eV/f.u.
* SG: C2/m
* formation energy from the elements: -0.260 eV/atom